Version w
The following is a DFT calculation (PBE) of an optimized crystal structure of RbSe3.

Lattice parameters (Å, degrees): 6.719 6.719 6.719 140.52 140.52 57.07
Fractional positions:
Rb (0.000, 0.000, 0.000)
Se (0.280, 0.280, 0.000)
Se (0.500, 0.500, 0.000)
Se (0.720, 0.720, 0.000)

Results
Size of the total moment in μB/cell: 0.00
SG: No. 139

=====

Version x
The following is a DFT calculation (PBE) of an optimized crystal structure of RbSe3.

Lattice parameters (Å, degrees): 6.767 6.767 6.767 92.23 92.23 92.23
Fractional positions:
Rb (0.225, 0.225, 0.225)
Rb (0.775, 0.775, 0.775)
Se (0.270, 0.678, 0.678)
Se (0.322, 0.322, 0.730)
Se (0.322, 0.730, 0.322)
Se (0.678, 0.270, 0.678)
Se (0.678, 0.678, 0.270)
Se (0.730, 0.322, 0.322)

Results
Size of the total moment in μB/cell: 0.00
SG: No. 166

=====

It comes down to version x, which is 177 meV/atom more stable than the next structure.

=====

Version w
The following is a DFT calculation (PBE) of an optimized crystal structure of Rb2Si2Se.

Lattice parameters (Å, degrees): 10.391 10.391 3.121 90.00 90.00 90.00
Fractional positions:
Rb (0.216, 0.284, 0.000)
Rb (0.284, 0.784, 0.000)
Rb (0.716, 0.216, 0.000)
Rb (0.784, 0.716, 0.000)
Si (0.075, 0.575, 0.500)
Si (0.425, 0.075, 0.500)
Si (0.575, 0.925, 0.500)
Si (0.925, 0.425, 0.500)
Se (0.000, 0.000, 0.000)
Se (0.500, 0.500, 0.000)

Results
Size of the total moment in μB/cell: 0.02
SG: No. 127

=====

Version x
The following is a DFT calculation (PBE) of an optimized crystal structure of Rb2Si2Se.

Lattice parameters (Å, degrees): 11.410 11.410 11.410 161.79 161.79 25.86
Fractional positions:
Rb (0.099, 0.099, 0.000)
Rb (0.901, 0.901, 0.000)
Si (0.250, 0.750, 0.500)
Si (0.750, 0.250, 0.500)
Se (0.500, 0.500, 0.000)

Results
Size of the total moment in μB/cell: 0.00
SG: No. 139

=====

It comes down to version x, which is 380 meV/atom more stable than the next structure.

=====

Version w
The following is a DFT calculation (PBE) of an optimized crystal structure of Rb4SiSe4.

Lattice parameters (Å, degrees): 9.576 9.576 7.278 90.00 90.00 90.00
Fractional positions:
Rb (0.023, 0.250, 0.092)
Rb (0.250, 0.023, 0.592)
Rb (0.250, 0.477, 0.592)
Rb (0.477, 0.250, 0.092)
Rb (0.523, 0.750, 0.908)
Rb (0.750, 0.523, 0.408)
Rb (0.750, 0.977, 0.408)
Rb (0.977, 0.750, 0.908)
Si (0.250, 0.750, 0.250)
Si (0.750, 0.250, 0.750)
Se (0.048, 0.750, 0.425)
Se (0.250, 0.548, 0.075)
Se (0.250, 0.952, 0.075)
Se (0.452, 0.750, 0.425)
Se (0.548, 0.250, 0.575)
Se (0.750, 0.048, 0.925)
Se (0.750, 0.452, 0.925)
Se (0.952, 0.250, 0.575)

Results
Size of the total moment in μB/cell: 0.00
SG: No. 137

=====

Version x
The following is a DFT calculation (PBE) of an optimized crystal structure of Rb4SiSe4.

Lattice parameters (Å, degrees): 7.886 7.886 7.886 100.78 100.78 128.75
Fractional positions:
Rb (0.084, 0.705, 0.789)
Rb (0.295, 0.084, 0.378)
Rb (0.705, 0.916, 0.622)
Rb (0.916, 0.295, 0.211)
Si (0.500, 0.500, 0.000)
Se (0.273, 0.425, 0.698)
Se (0.425, 0.727, 0.152)
Se (0.575, 0.273, 0.848)
Se (0.727, 0.575, 0.302)

Results
Size of the total moment in μB/cell: 0.00
SG: No. 87

=====

It comes down to version w, which is 310 meV/atom more stable than the next structure.

=====

Version w
The following is a DFT calculation (PBE) of an optimized crystal structure of Rb3SiSe3.

Lattice parameters (Å, degrees): 13.963 4.826 14.745 90.00 90.00 90.00
Fractional positions:
Rb (0.088, 0.250, 0.100)
Rb (0.125, 0.750, 0.483)
Rb (0.233, 0.750, 0.794)
Rb (0.267, 0.250, 0.294)
Rb (0.375, 0.250, 0.983)
Rb (0.412, 0.750, 0.600)
Rb (0.588, 0.250, 0.400)
Rb (0.625, 0.750, 0.017)
Rb (0.733, 0.750, 0.706)
Rb (0.767, 0.250, 0.206)
Rb (0.875, 0.250, 0.517)
Rb (0.912, 0.750, 0.900)
Si (0.056, 0.250, 0.705)
Si (0.444, 0.750, 0.205)
Si (0.556, 0.250, 0.795)
Si (0.944, 0.750, 0.295)
Se (0.011, 0.250, 0.325)
Se (0.084, 0.250, 0.863)
Se (0.204, 0.250, 0.630)
Se (0.296, 0.750, 0.130)
Se (0.416, 0.750, 0.363)
Se (0.489, 0.750, 0.825)
Se (0.511, 0.250, 0.175)
Se (0.584, 0.250, 0.637)
Se (0.704, 0.250, 0.870)
Se (0.796, 0.750, 0.370)
Se (0.916, 0.750, 0.137)
Se (0.989, 0.750, 0.675)

Results
Size of the total moment in μB/cell: 0.00
SG: No. 62

=====

Version x
The following is a DFT calculation (PBE) of an optimized crystal structure of Rb3SiSe3.

Lattice parameters (Å, degrees): 10.199 10.199 6.872 90.00 90.00 119.83
Fractional positions:
Rb (0.188, 0.812, 0.750)
Rb (0.189, 0.377, 0.750)
Rb (0.377, 0.189, 0.250)
Rb (0.623, 0.811, 0.750)
Rb (0.811, 0.623, 0.250)
Rb (0.812, 0.188, 0.250)
Si (0.333, 0.667, 0.250)
Si (0.667, 0.333, 0.750)
Se (0.204, 0.796, 0.250)
Se (0.205, 0.411, 0.250)
Se (0.411, 0.205, 0.750)
Se (0.589, 0.795, 0.250)
Se (0.795, 0.589, 0.750)
Se (0.796, 0.204, 0.750)

Results
Size of the total moment in μB/cell: 1.51
SG: No. 63

=====

It comes down to version w, which is 135 meV/atom more stable than the next structure.

=====

Version w
The following is a DFT calculation (PBE) of an optimized crystal structure of Rb2SiSe.

Lattice parameters (Å, degrees): 5.896 5.896 5.896 60.00 60.00 60.00
Fractional positions:
Rb (0.250, 0.250, 0.250)
Rb (0.750, 0.750, 0.750)
Si (0.000, 0.000, 0.000)
Se (0.500, 0.500, 0.500)

Results
Size of the total moment in μB/cell: 2.00
SG: No. 225

=====

Version x
The following is a DFT calculation (PBE) of an optimized crystal structure of Rb2SiSe.

Lattice parameters (Å, degrees): 9.499 9.499 9.499 93.94 93.94 149.62
Fractional positions:
Rb (0.375, 0.177, 0.302)
Rb (0.823, 0.125, 0.198)
Rb (0.875, 0.073, 0.698)
Rb (0.927, 0.625, 0.802)
Si (0.250, 0.750, 0.500)
Si (0.500, 0.500, 0.000)
Se (0.000, 0.000, 0.000)
Se (0.750, 0.250, 0.500)

Results
Size of the total moment in μB/cell: 0.00
SG: No. 122

=====

It comes down to version x, which is 184 meV/atom more stable than the next structure.

=====

Version w
The following is a DFT calculation (PBE) of an optimized crystal structure of RbSi2Se2.

Lattice parameters (Å, degrees): 8.881 8.881 3.494 90.00 90.00 90.00
Fractional positions:
Rb (0.000, 0.000, 0.000)
Rb (0.500, 0.500, 0.000)
Si (0.092, 0.408, 0.000)
Si (0.408, 0.908, 0.000)
Si (0.592, 0.092, 0.000)
Si (0.908, 0.592, 0.000)
Se (0.142, 0.642, 0.500)
Se (0.358, 0.142, 0.500)
Se (0.642, 0.858, 0.500)
Se (0.858, 0.358, 0.500)

Results
Size of the total moment in μB/cell: 0.00
SG: No. 127

=====

Version x
The following is a DFT calculation (PBE) of an optimized crystal structure of RbSi2Se2.

Lattice parameters (Å, degrees): 6.340 6.340 6.340 133.31 133.31 68.17
Fractional positions:
Rb (0.000, 0.000, 0.000)
Si (0.339, 0.339, 0.000)
Si (0.661, 0.661, 0.000)
Se (0.250, 0.750, 0.500)
Se (0.750, 0.250, 0.500)

Results
Size of the total moment in μB/cell: 0.00
SG: No. 139

=====

It comes down to version x, which is 113 meV/atom more stable than the next structure.

=====

Version w
The following is a DFT calculation (PBE) of an optimized crystal structure of Rb3SiSe4.

Lattice parameters (Å, degrees): 8.333 8.333 8.333 137.19 68.31 129.49
Fractional positions:
Rb (0.000, 0.000, 0.000)
Rb (0.451, 0.164, 0.287)
Rb (0.877, 0.164, 0.713)
Si (0.305, 0.805, 0.500)
Se (0.274, 0.634, 0.640)
Se (0.534, 0.300, 0.766)
Se (0.534, 0.768, 0.234)
Se (0.994, 0.634, 0.360)

Results
Size of the total moment in μB/cell: 0.00
SG: No. 44

=====

Version x
The following is a DFT calculation (PBE) of an optimized crystal structure of Rb3SiSe4.

Lattice parameters (Å, degrees): 15.097 10.636 7.558 90.00 90.00 90.00
Fractional positions:
Rb (0.056, 0.250, 0.108)
Rb (0.145, 0.000, 0.628)
Rb (0.145, 0.500, 0.628)
Rb (0.355, 0.000, 0.128)
Rb (0.355, 0.500, 0.128)
Rb (0.444, 0.750, 0.608)
Rb (0.556, 0.250, 0.392)
Rb (0.645, 0.000, 0.872)
Rb (0.645, 0.500, 0.872)
Rb (0.855, 0.000, 0.372)
Rb (0.855, 0.500, 0.372)
Rb (0.944, 0.750, 0.892)
Si (0.114, 0.750, 0.257)
Si (0.386, 0.250, 0.757)
Si (0.614, 0.750, 0.243)
Si (0.886, 0.250, 0.743)
Se (0.002, 0.750, 0.458)
Se (0.109, 0.568, 0.093)
Se (0.109, 0.932, 0.093)
Se (0.250, 0.250, 0.883)
Se (0.250, 0.750, 0.383)
Se (0.391, 0.068, 0.593)
Se (0.391, 0.432, 0.593)
Se (0.498, 0.250, 0.958)
Se (0.502, 0.750, 0.042)
Se (0.609, 0.568, 0.407)
Se (0.609, 0.932, 0.407)
Se (0.750, 0.250, 0.617)
Se (0.750, 0.750, 0.117)
Se (0.891, 0.068, 0.907)
Se (0.891, 0.432, 0.907)
Se (0.998, 0.250, 0.542)

Results
Size of the total moment in μB/cell: 3.45
SG: No. 62

=====

It comes down to version w, which is 13 meV/atom more stable than the next structure.

=====

Version w
The following is a DFT calculation (PBE) of an optimized crystal structure of RbSi3Se.

Lattice parameters (Å, degrees): 5.640 5.640 5.640 90.00 90.00 90.00
Fractional positions:
Rb (0.000, 0.000, 0.000)
Si (0.000, 0.000, 0.500)
Si (0.000, 0.500, 0.000)
Si (0.500, 0.000, 0.000)
Se (0.500, 0.500, 0.500)

Results
Size of the total moment in μB/cell: 1.83
SG: No. 221

=====

Version x
The following is a DFT calculation (PBE) of an optimized crystal structure of RbSi3Se.

Lattice parameters (Å, degrees): 5.219 5.219 5.219 90.00 90.00 90.00
Fractional positions:
Rb (0.000, 0.000, 0.000)
Si (0.000, 0.500, 0.500)
Si (0.500, 0.000, 0.500)
Si (0.500, 0.500, 0.000)
Se (0.500, 0.500, 0.500)

Results
Size of the total moment in μB/cell: 0.00
SG: No. 221

=====

It comes down to version x, which is 1489 meV/atom more stable than the next structure.